{
  "formula": "Y3AlSn2IrPt2",
  "functional": "PBE",
  "state": "optimized geometry",
  "total_energy_ev_per_cell": -59.9,
  "space_group": "Amm2 (38)",
  "crystal_system": "orthorhombic",
  "cell": [[4.434, 0.000, 0.000], [0.000, 6.162, 3.570], [0.000, -6.162, 3.570]],
  "species": ["Al", "Ir", "Pt", "Pt", "Sn", "Sn", "Y", "Y", "Y"],
  "fractional_positions": [[0.500, 0.801, 0.801], [0.000, 0.969, 0.969], [0.500, 0.240, 0.005], [0.500, 0.005, 0.240], [0.500, 0.672, 0.342], [0.500, 0.342, 0.672], [0.000, 0.605, 0.007], [0.000, 0.359, 0.359], [0.000, 0.007, 0.605]]
}

---

{
  "formula": "SrAl5IrPt",
  "functional": "PBE",
  "state": "optimized geometry",
  "total_energy_ev_per_cell": -41.3,
  "space_group": "Imm2 (44)",
  "crystal_system": "orthorhombic",
  "cell": [[5.681, -2.019, -2.715], [3.706, -0.861, 5.408], [-5.275, -2.264, -3.282]],
  "species": ["Al", "Al", "Al", "Al", "Al", "Ir", "Pt", "Sr"],
  "fractional_positions": [[0.529, 0.341, 0.188], [0.851, 0.657, 0.194], [0.501, 0.001, 0.500], [0.464, 0.657, 0.806], [0.153, 0.341, 0.812], [0.267, 0.767, 0.500], [0.738, 0.238, 0.500], [0.999, 0.999, 0.000]]
}

---

{
  "formula": "Tm2Al4IrPt",
  "functional": "PBE",
  "state": "optimized geometry",
  "total_energy_ev_per_cell": -46.3,
  "space_group": "Amm2 (38)",
  "crystal_system": "orthorhombic",
  "cell": [[-3.526, 0.574, 6.108], [-1.301, -5.291, -0.254], [2.314, -4.612, 1.769]],
  "species": ["Al", "Al", "Al", "Al", "Ir", "Pt", "Tm", "Tm"],
  "fractional_positions": [[0.302, 0.146, 0.146], [0.698, 0.146, 0.146], [0.195, 0.853, 0.853], [0.805, 0.853, 0.853], [0.000, 0.286, 0.286], [0.500, 0.715, 0.715], [0.500, 0.431, 0.431], [0.000, 0.569, 0.569]]
}

---

{
  "formula": "RbAlIr",
  "functional": "PBE",
  "state": "optimized geometry",
  "total_energy_ev_per_cell": -10.6,
  "space_group": "F-43m (216)",
  "de_polymorph_mev_per_atom": 143,
  "crystal_system": "cubic",
  "cell": [[0.000, 3.342, 3.342], [3.342, 0.000, 3.342], [3.342, 3.342, 0.000]],
  "species": ["Al", "Ir", "Rb"],
  "fractional_positions": [[0.000, 0.000, 0.000], [0.250, 0.250, 0.250], [0.750, 0.750, 0.750]]
}

---

{
  "formula": "RbAlIr",
  "functional": "PBE",
  "state": "optimized geometry",
  "total_energy_ev_per_cell": -7.8,
  "space_group": "F-43m (216)",
  "de_polymorph_mev_per_atom": 1071,
  "crystal_system": "cubic",
  "cell": [[0.000, 3.599, 3.599], [3.599, 0.000, 3.599], [3.599, 3.599, 0.000]],
  "species": ["Al", "Ir", "Rb"],
  "fractional_positions": [[0.250, 0.250, 0.250], [0.750, 0.750, 0.750], [0.000, 0.000, 0.000]]
}

---

{
  "formula": "RbAlIr",
  "functional": "PBE",
  "state": "optimized geometry",
  "total_energy_ev_per_cell": -11.0,
  "space_group": "F-43m (216)",
  "de_polymorph_mev_per_atom": 0,
  "crystal_system": "cubic",
  "cell": [[-2.009, -2.595, 3.417], [0.340, 1.368, 4.523], [-3.822, 1.631, 2.276]],
  "species": ["Al", "Ir", "Rb"],
  "fractional_positions": [[0.250, 0.250, 0.250], [0.000, 0.000, 0.000], [0.750, 0.750, 0.750]]
}

---

{
  "formula": "AlReIr2",
  "functional": "PBE",
  "state": "optimized geometry",
  "total_energy_ev_per_cell": -34.0,
  "space_group": "F-43m (216)",
  "crystal_system": "cubic",
  "cell": [[0.000, 3.081, 3.081], [3.081, 0.000, 3.081], [3.081, 3.081, 0.000]],
  "species": ["Al", "Ir", "Ir", "Re"],
  "fractional_positions": [[0.500, 0.500, 0.500], [0.000, 0.000, 0.000], [0.750, 0.750, 0.750], [0.250, 0.250, 0.250]]
}

---

{
  "formula": "AlReIr",
  "functional": "PBE",
  "state": "optimized geometry",
  "total_energy_ev_per_cell": -25.4,
  "space_group": "F-43m (216)",
  "de_polymorph_mev_per_atom": 0,
  "crystal_system": "cubic",
  "cell": [[1.358, -1.176, 3.759], [-2.639, -0.132, 3.221], [-1.173, -3.671, 1.584]],
  "species": ["Al", "Ir", "Re"],
  "fractional_positions": [[0.250, 0.250, 0.250], [0.000, 0.000, 0.000], [0.750, 0.750, 0.750]]
}

---

{
  "formula": "Al2ReIr",
  "functional": "PBE",
  "state": "optimized geometry",
  "total_energy_ev_per_cell": -29.0,
  "space_group": "F-43m (216)",
  "crystal_system": "cubic",
  "cell": [[0.000, 3.089, 3.089], [3.089, 0.000, 3.089], [3.089, 3.089, 0.000]],
  "species": ["Al", "Al", "Ir", "Re"],
  "fractional_positions": [[0.000, 0.000, 0.000], [0.250, 0.250, 0.250], [0.500, 0.500, 0.500], [0.750, 0.750, 0.750]]
}

---

{
  "formula": "ScAlIr2",
  "functional": "PBE",
  "state": "optimized geometry",
  "total_energy_ev_per_cell": -122.8,
  "space_group": "Pnma (62)",
  "crystal_system": "orthorhombic",
  "cell": [[-0.602, 4.031, 3.590], [-6.988, -1.234, 0.213], [0.928, -4.380, 5.074]],
  "species": ["Al", "Al", "Al", "Al", "Ir", "Ir", "Ir", "Ir", "Ir", "Ir", "Ir", "Ir", "Sc", "Sc", "Sc", "Sc"],
  "fractional_positions": [[0.367, 0.250, 0.103], [0.867, 0.750, 0.397], [0.133, 0.250, 0.603], [0.633, 0.750, 0.897], [0.606, 0.538, 0.193], [0.606, 0.962, 0.193], [0.106, 0.038, 0.307], [0.106, 0.462, 0.307], [0.894, 0.538, 0.693], [0.894, 0.962, 0.693], [0.394, 0.038, 0.807], [0.394, 0.462, 0.807], [0.134, 0.750, 0.014], [0.634, 0.250, 0.486], [0.366, 0.750, 0.514], [0.866, 0.250, 0.986]]
}

---

{
  "formula": "ScAlIr",
  "functional": "PBE",
  "state": "optimized geometry",
  "total_energy_ev_per_cell": -21.1,
  "space_group": "F-43m (216)",
  "crystal_system": "cubic",
  "cell": [[0.000, 3.081, 3.081], [3.081, 0.000, 3.081], [3.081, 3.081, 0.000]],
  "species": ["Al", "Ir", "Sc"],
  "fractional_positions": [[0.250, 0.250, 0.250], [0.000, 0.000, 0.000], [0.750, 0.750, 0.750]]
}

---

{
  "formula": "ScAlIr2",
  "functional": "PBE",
  "state": "optimized geometry",
  "total_energy_ev_per_cell": -190.7,
  "space_group": "I4/mmm (139)",
  "crystal_system": "tetragonal",
  "cell": [[-2.152, 2.908, 2.535], [-5.281, -1.207, -3.098], [-2.860, -9.640, 8.633]],
  "species": ["Al", "Al", "Al", "Al", "Al", "Al", "Ir", "Ir", "Ir", "Ir", "Ir", "Ir", "Ir", "Ir", "Ir", "Ir", "Ir", "Ir", "Sc", "Sc", "Sc", "Sc", "Sc", "Sc"],
  "fractional_positions": [[0.000, 0.000, 0.000], [0.500, 0.500, 0.167], [0.000, 0.000, 0.333], [0.500, 0.500, 0.500], [0.000, 0.000, 0.667], [0.500, 0.500, 0.833], [0.500, 0.250, 0.000], [0.500, 0.750, 0.000], [0.000, 0.250, 0.167], [0.000, 0.750, 0.167], [0.500, 0.250, 0.333], [0.500, 0.750, 0.333], [0.000, 0.250, 0.500], [0.000, 0.750, 0.500], [0.500, 0.250, 0.667], [0.500, 0.750, 0.667], [0.000, 0.250, 0.833], [0.000, 0.750, 0.833], [0.000, 0.500, 0.000], [0.500, 0.000, 0.167], [0.000, 0.500, 0.333], [0.500, 0.000, 0.500], [0.000, 0.500, 0.667], [0.500, 0.000, 0.833]]
}